# 1
BeBi3Ru (PBE, optimized geometry); formation energy from the elements = 0.92 eV per atom; magnetization = 0.0 μB/cell; E_tot = -4.013 eV per atom
1.0
5.2744 0.0000 0.0000
0.0000 5.2744 0.0000
0.0000 0.0000 5.2744
Be Bi Ru
1 3 1
Cartesian
0.0000 0.0000 0.0000 Be
0.0000 2.6372 2.6372 Bi
2.6372 0.0000 2.6372 Bi
2.6372 2.6372 0.0000 Bi
2.6372 2.6372 2.6372 Ru

=====

# 2
PmDy4Er2 (PBE, optimized geometry); formation energy from the elements = 0.03 eV per atom; magnetization = 0.0 μB/cell; E_tot = -4.578 eV per atom
1.0
8.3131 -1.7595 0.0000
8.3131 1.7595 0.0000
-4.2649 0.0000 7.6004
Pm Dy Er
1 4 2
Cartesian
0.0000 0.0000 0.0000 Pm
1.8950 0.0000 5.3654 Dy
5.2600 0.0000 1.2778 Dy
7.1012 0.0000 6.3226 Dy
10.4663 0.0000 2.2350 Dy
-0.6615 0.0000 3.2707 Er
13.0228 0.0000 4.3297 Er